Material: GeTeAs
Method: DFT, PBE
State: optimized geometry

Output
Polymorph energy (0 for the lowest one) in eV per formula unit: 0.00
Crystal system: monoclinic
Formation energy without anion corrections in eV per atom: 0.066
ρ in g/cm3: 5.45
N(E_F) in states/eV per atom: 0.1902

Unit cell a=6.183 b=7.141 c=7.607 alpha=91.86 beta=90.00 gamma=90.00
Element x y z (fractional)
Te 0.329 0.996 0.370
Te 0.671 0.004 0.630
Te 0.829 0.004 0.130
Te 0.171 0.996 0.870
As 0.779 0.568 0.419
As 0.221 0.432 0.581
As 0.279 0.432 0.081
As 0.721 0.568 0.919
Ge 0.386 0.626 0.347
Ge 0.114 0.626 0.847
Ge 0.886 0.374 0.153
Ge 0.614 0.374 0.653

***

Material: PtS2O
Method: DFT, PBE
State: optimized geometry

Output
Crystal system: trigonal
Formation energy without anion corrections in eV per atom: 0.672
ρ in g/cm3: 8.14
N(E_F) in states/eV per atom: 0.9405

Unit cell a=8.010 b=8.010 c=8.010 alpha=20.69 beta=20.69 gamma=20.69
Element x y z (fractional)
Pt 0.000 0.000 0.000
O 0.500 0.500 0.500
S 0.098 0.098 0.098
S 0.902 0.902 0.902